[1]
The following is a GGA-PBE calculation of a relaxed structure of US4I, from the Alexandria database.

Cell and atoms, written as CIF:
```
data_US4I
_symmetry_space_group_name_H-M 'P -1'
_symmetry_Int_Tables_number 2
_symmetry_space_group_name_Hall '-P 1'
_cell_length_a 7.4374
_cell_length_b 7.8050
_cell_length_c 8.1140
_cell_angle_alpha 61.45
_cell_angle_beta 89.56
_cell_angle_gamma 89.99
loop_
_atom_site_label
_atom_site_fract_x
_atom_site_fract_y
_atom_site_fract_z
U1 0.2501 0.0520 0.0002
S1 0.0162 0.7476 0.2428
S2 0.0201 0.9913 0.7561
S3 0.4799 0.7475 0.2429
S4 0.4841 0.9914 0.7559
I1 0.2500 0.4325 0.0021
```

Values from the calculation:
Uncorrected energy, eV per atom: -5.64
N(E_F), states/eV/cell: 5.589
Crystal system: triclinic
Raw formation energy, eV per atom: -0.75

[2]
The following is a GGA-PBE calculation of a relaxed structure of Li2ZnRh2, from the Alexandria database.

Cell and atoms, written as CIF:
```
data_Li2ZnRh2
_symmetry_space_group_name_H-M 'P 4/m b m'
_symmetry_Int_Tables_number 127
_symmetry_space_group_name_Hall '-P 4 2ab'
_cell_length_a 6.6854
_cell_length_b 6.6854
_cell_length_c 3.0925
_cell_angle_alpha 90.00
_cell_angle_beta 90.00
_cell_angle_gamma 90.00
loop_
_atom_site_label
_atom_site_fract_x
_atom_site_fract_y
_atom_site_fract_z
Li1 0.1619 0.3381 0.0000
Zn1 0.0000 0.0000 0.5000
Rh1 0.1372 0.6372 0.5000
```

Values from the calculation:
Uncorrected energy, eV per atom: -4.00
N(E_F), states/eV/cell: 11.955
E above lowest polymorph, eV per atom: 0.1689
Energy of formation, eV/atom: -0.043
Crystal system: tetragonal

[3]
The following is a GGA-PBE calculation of a relaxed structure of LiNbNiIr, from the Alexandria database.

Cell and atoms, written as CIF:
```
data_LiNbNiIr
_symmetry_space_group_name_H-M 'F -4 3 m'
_symmetry_Int_Tables_number 216
_symmetry_space_group_name_Hall 'F -4 2 3'
_cell_length_a 6.0860
_cell_length_b 6.0860
_cell_length_c 6.0860
_cell_angle_alpha 90.00
_cell_angle_beta 90.00
_cell_angle_gamma 90.00
loop_
_atom_site_label
_atom_site_fract_x
_atom_site_fract_y
_atom_site_fract_z
Li1 0.0000 0.0000 0.0000
Nb1 0.0000 0.0000 0.5000
Ni1 0.2500 0.2500 0.2500
Ir1 0.2500 0.2500 0.7500
```

Values from the calculation:
Uncorrected energy, eV per atom: -6.94
N(E_F), states/eV/cell: 11.406
E above lowest polymorph, eV per atom: 0.0063
Energy of formation, eV/atom: -0.283
Crystal system: cubic

[4]
The following is a GGA-PBE calculation of a relaxed structure of Hf4Zr5Sc2, from the Alexandria database.

Cell and atoms, written as CIF:
```
data_Hf4Zr5Sc2
_symmetry_space_group_name_H-M 'C 1 2/m 1'
_symmetry_Int_Tables_number 12
_symmetry_space_group_name_Hall '-C 2y'
_cell_length_a 11.6041
_cell_length_b 6.0114
_cell_length_c 9.2655
_cell_angle_alpha 90.00
_cell_angle_beta 126.81
_cell_angle_gamma 90.00
loop_
_atom_site_label
_atom_site_fract_x
_atom_site_fract_y
_atom_site_fract_z
Hf1 0.2381 0.0000 0.4583
Hf2 0.2401 0.0000 0.1196
Zr1 0.0000 0.5000 0.5000
Zr2 0.0021 0.2705 0.8311
Sc1 0.1869 0.0000 0.7381
```

Values from the calculation:
Uncorrected energy, eV per atom: -8.45
N(E_F), states/eV/cell: 25.865
E above lowest polymorph, eV per atom: 0.0990
Energy of formation, eV/atom: 0.210
Crystal system: monoclinic